This record from the Alexandria database describes a geometry-optimized LaEr2NpO8 structure. The functional is PBE.

Geometry as extended XYZ:
```
12
Lattice="3.931 0.000 0.000 0.000 7.507 0.000 -0.363 0.000 5.385" Properties=species:S:1:pos:R:3 pbc="T T T"
La 0.000 0.000 0.000
Er 1.784 1.834 2.692
Er 1.784 5.674 2.692
Np 0.000 3.754 0.000
O -0.171 2.138 4.075
O -0.171 5.369 4.075
O 1.718 3.754 1.218
O 1.669 0.000 3.964
O 1.899 0.000 1.420
O 1.850 3.754 4.167
O 3.738 2.138 1.310
O 3.738 5.369 1.310
```

* total magnetic moment: 0.0 Bohr magnetons per cell
* final energy: -8.749 eV/atom
* crystal system: monoclinic

This record from the Alexandria database describes a geometry-optimized La2ErNpP4 structure. The functional is PBE.

Geometry as extended XYZ:
```
8
Lattice="7.103 0.000 0.000 0.000 4.106 0.000 -2.359 0.000 6.745" Properties=species:S:1:pos:R:3 pbc="T T T"
La 0.000 0.000 0.000
La 3.551 2.053 0.000
Er -1.179 2.053 3.373
Np 2.372 0.000 3.373
P 0.031 0.000 4.926
P 1.201 2.053 1.830
P 3.543 2.053 4.915
P 4.713 0.000 1.819
```

* total magnetic moment: 3.6 Bohr magnetons per cell
* ΔE_f: -1.38 eV/atom
* crystal system: monoclinic

This record from the Alexandria database describes a geometry-optimized LaErO structure. The functional is PBE.

Geometry as extended XYZ:
```
6
Lattice="-3.115 4.119 3.161 3.115 -4.119 3.161 3.115 4.119 -3.161" Properties=species:S:1:pos:R:3 pbc="T T T"
La 0.000 0.000 0.000
La 0.000 4.119 0.000
Er 3.115 2.060 0.032
Er 0.000 2.060 3.129
O 3.115 -2.060 2.041
O 0.000 6.179 1.120
```

* total magnetic moment: 0.0 Bohr magnetons per cell
* crystal system: orthorhombic
* energy above the most stable polymorph in this dataset: 0.22 eV/f.u.

This record from the Alexandria database describes a geometry-optimized La3Er5O12 structure. The functional is PBE.

Geometry as extended XYZ:
```
80
Lattice="-6.854 6.854 6.854 6.854 -6.854 6.854 6.854 6.854 -6.854" Properties=species:S:1:pos:R:3 pbc="T T T"
La 3.427 1.714 0.000
La 6.854 3.427 -1.714
La 1.714 0.000 3.427
La 8.568 0.000 3.427
La 0.000 3.427 1.714
La 3.427 -1.714 6.854
La 3.427 8.568 0.000
La 6.854 3.427 5.141
La -1.714 6.854 3.427
La 5.141 6.854 3.427
La 0.000 3.427 8.568
La 3.427 5.141 6.854
Er 0.000 0.000 0.000
Er 3.427 3.427 -3.427
Er 3.427 -3.427 3.427
Er 6.854 0.000 0.000
Er 10.281 1.714 0.000
Er 6.854 -3.427 5.141
Er 5.141 6.854 -3.427
Er 5.141 0.000 3.427
Er 3.427 5.141 0.000
Er 6.854 3.427 1.714
Er -3.427 3.427 3.427
Er 0.000 6.854 0.000
Er 0.000 0.000 6.854
Er 3.427 3.427 3.427
Er 0.000 3.427 5.141
Er 3.427 1.714 6.854
Er 1.714 6.854 3.427
Er 1.714 0.000 10.281
Er 0.000 10.281 1.714
Er -3.427 5.141 6.854
O 2.082 -0.320 0.825
O 8.199 4.252 -3.747
O 8.936 0.320 0.825
O 8.199 -2.602 3.747
O 6.534 -0.825 2.082
O 10.601 -1.345 2.602
O 0.825 2.082 -0.320
O 9.456 3.107 -1.345
O 4.252 3.747 -1.345
O 6.029 2.082 0.320
O -0.320 0.825 2.082
O 3.747 -1.345 4.252
O 6.534 6.029 -2.082
O 3.747 1.345 2.602
O 4.252 -3.747 8.199
O 6.029 -2.082 6.534
O 2.602 3.747 1.345
O 7.679 4.772 0.320
O 3.747 8.199 -2.602
O 6.534 0.825 4.772
O 2.082 6.534 -0.825
O 8.199 2.602 3.107
O 1.345 2.602 3.747
O 2.082 0.320 6.029
O 4.772 6.534 0.825
O 5.509 4.252 3.107
O -1.345 4.252 3.747
O 4.772 0.320 7.679
O 0.320 6.029 2.082
O 3.107 -1.345 9.456
O -0.825 2.082 6.534
O 4.252 3.107 5.509
O 0.825 8.936 0.320
O 2.602 10.601 -1.345
O 3.107 5.509 4.252
O 0.320 0.825 8.936
O 3.107 8.199 2.602
O 7.174 6.029 4.772
O 0.825 4.772 6.534
O 2.602 3.107 8.199
O -2.602 3.747 8.199
O 6.029 4.772 7.174
O -3.747 8.199 4.252
O 0.320 7.679 4.772
O -1.345 9.456 3.107
O -2.082 6.534 6.029
O -1.345 2.602 10.601
O 4.772 7.174 6.029
```

* total magnetic moment: 0.0 Bohr magnetons per cell
* final energy: -8.301 eV/atom
* crystal system: cubic